Record 1
# Y2Zn3Ru

A geometry-optimized Y2Zn3Ru structure (PBE, the Alexandria database).

Values from the calculation:
The calculation puts the relative energy among the computed polymorphs at 0.000 eV/atom.

Cell lengths 9.2528, 5.3579, 5.4536 Å; angles 90.00, 124.45, 90.00 degrees
With the nearest neighbours (Å) after each atom.
Space group C2/m (No. 12)
Unique sites:
1 Y 0.1276 0.0000 0.3817 x4  3 Ru 3.13-3.14, 9 Zn 3.17-3.18, 4 Y 3.27-3.43
2 Zn 0.0000 0.5000 0.0000 x2  4 Zn 2.67, 2 Ru 2.73
3 Zn 0.2500 0.2500 0.0000 x4  4 Zn 2.67-2.68, 2 Ru 2.73
4 Ru 0.0000 0.5000 0.5000 x2  6 Zn 2.73

=====

Record 2
# Tb3Ho4Tl

A geometry-optimized Tb3Ho4Tl structure (PBE, the Alexandria database).

Values from the calculation:
The calculation puts the relative energy among the computed polymorphs at 0.098 eV/atom.

Cell lengths 4.0976, 4.0976, 14.4926 Å; angles 90.00, 90.00, 90.00 degrees
With the nearest neighbours (Å) after each atom.
Space group P4/mmm (No. 123)
Unique sites:
1 Tb 0.0000 0.0000 0.0000 x1  8 Ho 3.46, 2 Tb 3.63
2 Tb 0.0000 0.0000 0.2504 x2  8 Ho 3.38-3.50, 1 Tl 3.62, 1 Tb 3.63
3 Ho 0.5000 0.5000 0.1300 x2  8 Tb 3.38-3.46, 2 Ho 3.71-3.77
4 Ho 0.5000 0.5000 0.3859 x2  1 Ho 3.31, 4 Tl 3.34, 4 Tb 3.50
5 Tl 0.0000 0.0000 0.5000 x1  8 Ho 3.34, 2 Tb 3.62

=====

Record 3
# Ce2Hg3Pb3

A geometry-optimized Ce2Hg3Pb3 structure (PBE, the Alexandria database).

Values from the calculation:
The raw total energy comes out at -26.641 eV/f.u.

Cell lengths 4.7926, 4.9091, 9.3091 Å; angles 90.00, 90.00, 90.00 degrees
With the nearest neighbours (Å) after each atom.
Space group Pmmm (No. 47)
Unique sites:
1 Ce 0.0000 0.0000 0.2505 x2  6 Pb 3.34-3.38, 6 Hg 3.39-3.43
2 Hg 0.0000 0.5000 0.0000 x1  4 Hg 3.30, 4 Ce 3.39, 4 Pb 3.43
3 Hg 0.5000 0.5000 0.2443 x2  2 Hg 3.30, 6 Pb 3.35-3.42, 4 Ce 3.43
4 Pb 0.0000 0.5000 0.5000 x1  4 Hg 3.38, 4 Ce 3.38, 4 Pb 3.43
5 Pb 0.5000 0.0000 0.0000 x1  4 Ce 3.34, 8 Hg 3.35-3.43
6 Pb 0.5000 0.0000 0.5000 x1  4 Ce 3.34, 4 Hg 3.42, 4 Pb 3.43

=====

Record 4
# Ga6Hg2Pb

A geometry-optimized Ga6Hg2Pb structure (PBE, the Alexandria database).

Values from the calculation:
The raw total energy comes out at -21.609 eV/f.u.

Cell lengths 8.9422, 7.8960, 5.9350 Å; angles 90.00, 98.63, 90.00 degrees
With the nearest neighbours (Å) after each atom.
Space group C2/m (No. 12)
Unique sites:
1 Ga 0.0000 0.1692 0.0000 x4  3 Ga 2.63-2.67
2 Ga 0.1654 0.3339 0.3337 x8  3 Ga 2.62-2.65
3 Hg 0.1674 0.5000 0.8363 x4  12 Ga 3.23-3.27
4 Pb 0.0000 0.0000 0.5000 x2  12 Ga 3.25-3.28

=====

Record 5
# Dy7Ho3Er2

A geometry-optimized Dy7Ho3Er2 structure (PBE, the Alexandria database).

Values from the calculation:
The calculation puts the relative energy among the computed polymorphs at 0.199 eV/atom.

Cell lengths 6.1537, 5.4700, 11.8880 Å; angles 90.00, 91.64, 90.00 degrees
With the nearest neighbours (Å) after each atom.
Space group P2/m (No. 10)
Unique sites:
1 Dy 0.0000 0.0000 0.0000 x1  6 Dy 3.40-3.42
2 Dy 0.0894 0.5000 0.1675 x2  2 Er 3.25-3.44, 3 Ho 3.26-3.54, 5 Dy 3.42-3.49
3 Dy 0.2372 0.5000 0.4527 x2  2 Er 3.15-3.30, 3 Dy 3.16-3.49, 2 Ho 3.52
4 Dy 0.4374 0.0000 0.1809 x2  2 Er 3.15, 3 Dy 3.40-3.47, 2 Ho 3.51
5 Ho 0.0549 0.0000 0.6615 x2  2 Er 3.48, 8 Dy 3.52-3.88, 1 Ho 3.88
6 Ho 0.5000 0.5000 0.0000 x1  6 Dy 3.26-3.51, 2 Er 3.36
7 Er 0.3874 0.5000 0.7217 x2  6 Dy 3.15-3.44, 3 Ho 3.36-3.48

=====

Record 6
# Tb7PmTh2

A geometry-optimized Tb7PmTh2 structure (PBE, the Alexandria database).

Values from the calculation:
The calculation puts the relative energy among the computed polymorphs at 0.000 eV/atom.

Cell lengths 12.4805, 11.3543, 5.5636 Å; angles 90.00, 115.99, 90.00 degrees
With the nearest neighbours (Å) after each atom.
Space group C2/m (No. 12)
Unique sites:
1 Tb 0.0000 0.0000 0.0000 x2  8 Tb 3.27-3.33
2 Tb 0.0000 0.1620 0.5000 x4  5 Tb 3.33-3.68, 2 Th 3.46
3 Tb 0.2488 0.1501 0.2489 x8  5 Tb 3.27-3.59, 1 Pm 3.29, 1 Th 3.55
4 Pm 0.0000 0.5000 0.5000 x2  4 Tb 3.29, 4 Th 3.30
5 Th 0.0000 0.3434 0.0000 x4  2 Pm 3.30, 4 Tb 3.46-3.55, 1 Th 3.56

=====

Record 7
# MnAg2Ir

A geometry-optimized MnAg2Ir structure (PBE, the Alexandria database).

Values from the calculation:
The calculation puts the relative energy among the computed polymorphs at 0.099 eV/atom.

Cell lengths 3.8670, 3.8670, 4.2756 Å; angles 90.00, 90.00, 90.00 degrees
With the nearest neighbours (Å) after each atom.
Space group P4/mmm (No. 123)
Unique sites:
1 Mn 0.0000 0.0000 0.0000 x1  4 Ir 2.73, 8 Ag 2.88
2 Ag 0.0000 0.5000 0.5000 x2  4 Ag 2.73, 4 Mn 2.88, 4 Ir 2.88
3 Ir 0.5000 0.5000 0.0000 x1  4 Mn 2.73, 8 Ag 2.88

=====

Record 8
# EuTmLuTl

A geometry-optimized EuTmLuTl structure (PBE, the Alexandria database).

Values from the calculation:
The raw total energy comes out at -21.716 eV/f.u.

Cell lengths 7.7981, 7.7981, 7.7981 Å; angles 90.00, 90.00, 90.00 degrees
With the nearest neighbours (Å) after each atom.
Space group F-43m (No. 216)
Unique sites:
1 Eu 0.0000 0.0000 0.0000 x4  4 Tl 3.38, 4 Lu 3.38
2 Tm 0.0000 0.0000 0.5000 x4  4 Tl 3.38, 4 Lu 3.38
3 Lu 0.2500 0.2500 0.7500 x4  4 Tm 3.38, 4 Eu 3.38
4 Tl 0.2500 0.2500 0.2500 x4  4 Tm 3.38, 4 Eu 3.38

=====

Record 9
# Tb2Y7Er4

A geometry-optimized Tb2Y7Er4 structure (PBE, the Alexandria database).

Values from the calculation:
The raw total energy comes out at -72.491 eV/f.u.

Cell lengths 6.1570, 7.9184, 9.4174 Å; angles 65.14, 89.73, 82.53 degrees
With the nearest neighbours (Å) after each atom.
Space group P-1 (No. 2)
Unique sites:
1 Tb 0.1536 0.0761 0.1153 x2  7 Y 3.53-3.56, 4 Er 3.54-3.56, 1 Tb 3.55
2 Y 0.0000 0.0000 0.5000 x1  6 Er 3.54-3.56, 4 Y 3.55, 2 Tb 3.56
3 Y 0.0770 0.5385 0.8073 x2  2 Tb 3.55-3.56, 3 Er 3.55-3.56, 7 Y 3.55-3.57
4 Y 0.2323 0.6153 0.4229 x2  6 Y 3.54-3.57, 5 Er 3.54-3.57, 1 Tb 3.55
5 Y 0.3861 0.6937 0.0378 x2  3 Tb 3.53-3.56, 4 Er 3.54-3.58, 5 Y 3.55-3.57
6 Er 0.3074 0.1528 0.7299 x2  2 Er 3.52-3.54, 3 Tb 3.54-3.56, 7 Y 3.54-3.57
7 Er 0.4603 0.2289 0.3468 x2  3 Er 3.52-3.54, 8 Y 3.54-3.58, 1 Tb 3.55

=====

Record 10
# LiY2NpS4

A geometry-optimized LiY2NpS4 structure (PBE, the Alexandria database).

Values from the calculation:
As for the formation energy (no corrections): -1.74 eV per atom.

Cell lengths 6.7512, 3.8995, 6.7521 Å; angles 90.00, 109.77, 90.00 degrees
With the nearest neighbours (Å) after each atom.
Space group P2/m (No. 10)
Unique sites:
1 Li 0.0000 0.0000 0.0000 x1  6 S 2.72-2.73
2 Y 0.5000 0.0000 0.5000 x1  6 S 2.78-2.79
3 Y 0.5000 0.5000 0.0000 x1  6 S 2.75
4 Np 0.0000 0.5000 0.5000 x1  6 S 2.75-2.78
5 S 0.2462 0.5000 0.2438 x2  2 Li 2.72, 3 Y 2.75-2.78, 1 Np 2.78
6 S 0.2470 0.0000 0.7529 x2  1 Li 2.73, 2 Np 2.75, 3 Y 2.75-2.79

=====

Please write out number 4 again, unchanged.
# Ga6Hg2Pb

A geometry-optimized Ga6Hg2Pb structure (PBE, the Alexandria database).

Values from the calculation:
The raw total energy comes out at -21.609 eV/f.u.

Cell lengths 8.9422, 7.8960, 5.9350 Å; angles 90.00, 98.63, 90.00 degrees
With the nearest neighbours (Å) after each atom.
Space group C2/m (No. 12)
Unique sites:
1 Ga 0.0000 0.1692 0.0000 x4  3 Ga 2.63-2.67
2 Ga 0.1654 0.3339 0.3337 x8  3 Ga 2.62-2.65
3 Hg 0.1674 0.5000 0.8363 x4  12 Ga 3.23-3.27
4 Pb 0.0000 0.0000 0.5000 x2  12 Ga 3.25-3.28